Below is crystalline Nd2Hg5Au at its relaxed geometry, with properties calculated at the PBE level.

Cell lengths 4.830, 4.830, 11.235 Å; angles 77.76, 77.76, 59.85 degrees
Atoms (fractional coordinates):
Hg1 0.800 0.800 0.600
Nd1 0.907 0.907 0.278
Hg2 0.369 0.369 0.891
Au1 0.000 0.000 0.000
Hg3 0.631 0.631 0.109
Hg4 0.200 0.200 0.400
Hg5 0.500 0.500 0.500
Nd2 0.093 0.093 0.722

Results
- Formation energy: -0.29 eV/atom
- Space group: C2/m
- D(E_F): 4.05 states/eV/f.u.

Below is crystalline EuYHoMg at its relaxed geometry, with properties calculated at the PBE level.

Cell lengths 5.585, 5.585, 5.585 Å; angles 60.00, 60.00, 60.00 degrees
Site moments in Bohr magnetons follow the coordinates.
Atoms (fractional coordinates):
Ho1 0.250 0.250 0.250  0.03
Eu1 0.000 0.000 0.000  6.83
Mg1 0.500 0.500 0.500  -0.01
Y1 0.750 0.750 0.750  0.02

Results
- Formation energy: 0.08 eV/atom
- Space group: F-43m
- D(E_F): 3.15 states/eV/f.u.

Below is crystalline Y3TaSn at its relaxed geometry, with properties calculated at the PBE level.

Cell lengths 5.429, 5.429, 5.429 Å; angles 90.00, 90.00, 90.00 degrees
Atoms (fractional coordinates):
Sn1 0.500 0.500 0.500
Y1 0.000 0.000 0.500
Y2 0.000 0.500 0.000
Ta1 0.000 0.000 0.000
Y3 0.500 0.000 0.000

Results
- Formation energy: 0.51 eV/atom
- Space group: Pm-3m
- D(E_F): 3.81 states/eV/f.u.
- Energy above the lowest structure with this stoichiometry: 0 kJ/mol of formula units

Below is crystalline Na2AlSnRu at its relaxed geometry, with properties calculated at the PBE level.

Cell lengths 5.314, 5.404, 5.314 Å; angles 90.00, 90.00, 90.00 degrees
Atoms (fractional coordinates):
Sn1 0.000 0.500 0.000
Ru1 0.500 0.500 0.500
Al1 0.000 0.000 0.000
Na1 0.500 0.000 0.000
Na2 0.000 0.000 0.500

Results
- Formation energy: 1.32 eV/atom
- Space group: P4/mmm
- D(E_F): 8.39 states/eV/f.u.

Below is crystalline NiAg2Br at its relaxed geometry, with properties calculated at the PBE level.

Cell lengths 6.678, 6.678, 6.678 Å; angles 153.74, 141.64, 47.09 degrees
Site moments in Bohr magnetons follow the coordinates.
Atoms (fractional coordinates):
Ag1 0.084 0.084 0.000  0.00
Ag2 0.722 0.222 0.500  0.00
Ni1 0.270 0.770 0.500  0.16
Br1 0.423 0.423 0.000  0.03

Results
- Space group: Imm2
- D(E_F): 2.01 states/eV/f.u.
- Energy above the lowest structure with this stoichiometry: 19 kJ/mol of formula units

Below is crystalline TbHoPu2S4 at its relaxed geometry, with properties calculated at the PBE level.

Cell lengths 3.919, 6.788, 6.840 Å; angles 109.31, 90.00, 90.00 degrees
Site moments in Bohr magnetons follow the coordinates.
Atoms (fractional coordinates):
S1 0.000 0.249 0.753  -0.05
Pu1 0.000 0.500 0.500  5.37
S2 0.500 0.247 0.246  -0.05
Ho1 0.000 0.000 0.000  0.03
Pu2 0.500 0.000 0.500  5.34
S3 0.000 0.751 0.247  -0.05
Tb1 0.500 0.500 0.000  0.03
S4 0.500 0.753 0.754  -0.05

Results
- DFT total energy: -0.640 Ry per atom
- Space group: P2/m
- D(E_F): 15.22 states/eV/f.u.

Below is crystalline Ba2Li2Zn at its relaxed geometry, with properties calculated at the PBE level.

Cell lengths 5.899, 5.206, 6.735 Å; angles 67.26, 64.03, 90.00 degrees
Atoms (fractional coordinates):
Li1 0.233 0.500 0.000
Ba1 0.311 0.811 0.378
Li2 0.767 0.500 0.000
Ba2 0.689 0.189 0.622
Zn1 0.000 0.000 0.000

Results
- Formation energy: -0.03 eV/atom
- Space group: Immm
- D(E_F): 4.35 states/eV/f.u.
- Energy above the lowest structure with this stoichiometry: 0 kJ/mol of formula units

Below is crystalline CaZrOs2 at its relaxed geometry, with properties calculated at the PBE level.

Cell lengths 4.656, 4.656, 5.987 Å; angles 80.43, 80.43, 39.02 degrees
Atoms (fractional coordinates):
Ca1 0.250 0.250 0.250
Os1 0.009 0.009 0.942
Zr1 0.750 0.750 0.750
Os2 0.491 0.491 0.558

Results
- Formation energy: 0.37 eV/atom
- Space group: C2/m
- D(E_F): 2.86 states/eV/f.u.

Below is crystalline La16Dy7Ho6 at its relaxed geometry, with properties calculated at the PBE level.

Cell lengths 11.458, 11.458, 11.458 Å; angles 60.00, 60.00, 60.00 degrees
Atoms (fractional coordinates):
Dy1 0.500 0.000 0.000
La1 0.352 0.352 0.352
Ho1 0.260 0.260 0.740
Ho2 0.260 0.740 0.260
Dy2 0.000 0.000 0.000
Dy3 0.000 0.500 0.000
La2 0.875 0.875 0.875
Dy4 0.000 0.500 0.500
La3 0.125 0.625 0.125
La4 0.375 0.875 0.875
La5 0.648 0.648 0.648
Ho3 0.260 0.740 0.740
La6 0.625 0.125 0.125
Dy5 0.500 0.000 0.500
La7 0.055 0.648 0.648
La8 0.352 0.945 0.352
La9 0.875 0.875 0.375
La10 0.125 0.125 0.625
Ho4 0.740 0.260 0.260
La11 0.648 0.648 0.055
La12 0.648 0.055 0.648
La13 0.945 0.352 0.352
Dy6 0.000 0.000 0.500
La14 0.125 0.125 0.125
Ho5 0.740 0.740 0.260
Ho6 0.740 0.260 0.740
La15 0.875 0.375 0.875
Dy7 0.500 0.500 0.000
La16 0.352 0.352 0.945

Results
- Formation energy: 0.19 eV/atom
- Space group: Fm-3m
- D(E_F): 44.52 states/eV/f.u.

Below is crystalline ZrNiRh3 at its relaxed geometry, with properties calculated at the PBE level.

Cell lengths 4.762, 4.762, 4.762 Å; angles 90.00, 90.00, 90.00 degrees
Site moments in Bohr magnetons follow the coordinates.
Atoms (fractional coordinates):
Ni1 0.500 0.500 0.500  0.96
Rh1 0.000 0.000 0.500  0.15
Zr1 0.000 0.000 0.000  -0.04
Rh2 0.500 0.000 0.000  0.32
Rh3 0.000 0.500 0.000  0.20

Results
- Formation energy: 1.25 eV/atom
- Space group: Pm-3m
- D(E_F): 9.74 states/eV/f.u.
- Energy above the lowest structure with this stoichiometry: 378 kJ/mol of formula units